(1)
PmMg6Au2 | PBE | relaxed

Unit cell a=4.2806 b=4.2806 c=11.1196 alpha=90.00 beta=90.00 gamma=90.00
Closest atoms and distances in Å follow each position.
Positions (direct):
Pm  0.0000  0.0000  0.0000  8 Au 3.33
Mg  0.0000  0.5000  0.2801  2 Au 2.75, 4 Mg 3.03
Mg  0.5000  0.0000  0.2801  2 Au 2.75, 4 Mg 3.03
Mg  0.0000  0.5000  0.7199  2 Au 2.75, 4 Mg 3.03
Mg  0.5000  0.0000  0.7199  2 Au 2.75, 4 Mg 3.03
Mg  0.5000  0.5000  0.5000  12 Mg 3.03-3.25
Mg  0.0000  0.0000  0.5000  12 Mg 3.03-3.25
Au  0.5000  0.5000  0.1247  4 Mg 2.75, 1 Au 2.77
Au  0.5000  0.5000  0.8753  4 Mg 2.75, 1 Au 2.77

- DOS at the Fermi energy: 4.8 states/eV/f.u.
- Spin magnetization: 0.000 μB per formula unit
- DFT formation energy: -0.343 eV per atom

=====

(2)
Pm2MgAu3 | PBE | relaxed

Unit cell a=3.5722 b=3.5722 c=10.7766 alpha=90.00 beta=90.00 gamma=90.00
Closest atoms and distances in Å follow each position.
Positions (direct):
Pm  0.5000  0.5000  0.8209  8 Au 3.16-3.18, 1 Mg 3.46
Pm  0.5000  0.5000  0.1791  8 Au 3.16-3.18, 1 Mg 3.46
Mg  0.5000  0.5000  0.5000  8 Au 2.97
Au  0.0000  0.0000  0.0000  8 Pm 3.18
Au  0.0000  0.0000  0.6444  4 Mg 2.97, 1 Au 3.11, 4 Pm 3.16
Au  0.0000  0.0000  0.3556  4 Mg 2.97, 1 Au 3.11, 4 Pm 3.16

- Relative energy among the computed polymorphs: 41.8 meV/atom
- DOS at the Fermi energy: 3.5 states/eV/f.u.
- Spin magnetization: 0.000 μB per formula unit
- DFT formation energy: -0.708 eV per atom

=====

(3)
PmMg4Au4 | PBE | relaxed

Unit cell a=6.9588 b=6.9588 c=8.3174 alpha=90.00 beta=90.00 gamma=90.00
Closest atoms and distances in Å follow each position.
Positions (direct):
Pm  0.0000  0.0000  0.0000  4 Au 3.15
Pm  0.5000  0.5000  0.5000  4 Au 3.15
Mg  0.2511  0.5000  0.8823  5 Au 2.71-2.75
Mg  0.7489  0.5000  0.8823  5 Au 2.71-2.75
Mg  0.5000  0.7489  0.1177  5 Au 2.71-2.75
Mg  0.5000  0.2511  0.1177  5 Au 2.71-2.75
Mg  0.0000  0.7511  0.3823  5 Au 2.71-2.75
Mg  0.0000  0.2489  0.3823  5 Au 2.71-2.75
Mg  0.2489  0.0000  0.6177  5 Au 2.71-2.75
Mg  0.7511  0.0000  0.6177  5 Au 2.71-2.75
Au  0.5000  0.7879  0.7923  5 Mg 2.71-2.75, 1 Au 2.95
Au  0.5000  0.2122  0.7923  5 Mg 2.71-2.75, 1 Au 2.95
Au  0.7879  0.5000  0.2077  5 Mg 2.71-2.75, 1 Au 2.95
Au  0.2122  0.5000  0.2077  5 Mg 2.71-2.75, 1 Au 2.95
Au  0.2878  0.0000  0.2923  5 Mg 2.71-2.75, 1 Au 2.95
Au  0.7121  0.0000  0.2923  5 Mg 2.71-2.75, 1 Au 2.95
Au  0.0000  0.2878  0.7077  5 Mg 2.71-2.75, 1 Au 2.95
Au  0.0000  0.7121  0.7077  5 Mg 2.71-2.75, 1 Au 2.95

- DOS at the Fermi energy: 3.1 states/eV/f.u.
- Spin magnetization: 0.000 μB per formula unit
- DFT formation energy: -0.493 eV per atom

=====

Number 1: calculated total energy -2.662 eV/atom. Number 2: calculated total energy -4.196 eV/atom. Number 3: calculated total energy -3.186 eV/atom.